# 1
The following is a PBE-GGA calculation of a geometry-optimized LaNdBe2Si2 structure, from OQMD.

Calculated values
Energy = -0.19293 Ha/atom
Total moment = 0.03 μB per formula unit

```
data_LaNdBe2Si2
_chemical_formula_sum 'La1 Nd1 Be2 Si2'
_space_group_name_H-M_alt 'P -3 m 1'
_space_group_IT_number 164
_space_group_name_Hall '-P 3 2"'
_cell_length_a 3.9744
_cell_length_b 3.9744
_cell_length_c 8.6342
_cell_angle_alpha 90.00
_cell_angle_beta 90.00
_cell_angle_gamma 120.00
loop_
_atom_site_label
_atom_site_type_symbol
_atom_site_fract_x
_atom_site_fract_y
_atom_site_fract_z
_atom_site_occupancy
La1 La 0.0000 0.0000 0.0000 1
Nd1 Nd 0.0000 0.0000 0.5000 1
Be1 Be 0.3333 0.6667 0.2554 1
Si1 Si 0.3333 0.6667 0.7445 1
```


# 2
The following is a PBE-GGA calculation of a geometry-optimized LaBeNi structure, from OQMD.

Calculated values
Energy = -0.14483 Ha/atom
Total moment = 0.01 μB per formula unit
Distance to the lowest polymorph of the same formula = 644 meV per atom

```
data_LaBeNi
_chemical_formula_sum 'La4 Be4 Ni4'
_space_group_name_H-M_alt 'F -4 3 m'
_space_group_IT_number 216
_space_group_name_Hall 'F -4 2 3'
_cell_length_a 6.562
_cell_length_b 6.562
_cell_length_c 6.562
_cell_angle_alpha 90.00
_cell_angle_beta 90.00
_cell_angle_gamma 90.00
loop_
_atom_site_label
_atom_site_type_symbol
_atom_site_fract_x
_atom_site_fract_y
_atom_site_fract_z
_atom_site_occupancy
La1 La 0.000 0.000 0.000 1
Be1 Be 0.250 0.250 0.750 1
Ni1 Ni 0.250 0.250 0.250 1
```


# 3
The following is a PBE-GGA calculation of a geometry-optimized LaBeNi structure, from OQMD.

Calculated values
Energy = -0.16275 Ha/atom
Total moment = 0.01 μB per formula unit
Distance to the lowest polymorph of the same formula = 157 meV per atom

```
data_LaBeNi
_chemical_formula_sum 'La4 Be4 Ni4'
_space_group_name_H-M_alt 'F -4 3 m'
_space_group_IT_number 216
_space_group_name_Hall 'F -4 2 3'
_cell_length_a 6.261
_cell_length_b 6.261
_cell_length_c 6.261
_cell_angle_alpha 90.00
_cell_angle_beta 90.00
_cell_angle_gamma 90.00
loop_
_atom_site_label
_atom_site_type_symbol
_atom_site_fract_x
_atom_site_fract_y
_atom_site_fract_z
_atom_site_occupancy
La1 La 0.000 0.000 0.000 1
Be1 Be 0.250 0.250 0.250 1
Ni1 Ni 0.000 0.000 0.500 1
```


# 4
The following is a PBE-GGA calculation of a geometry-optimized LaBeNi structure, from OQMD.

Calculated values
Energy = -0.16851 Ha/atom
Total moment = 0.09 μB per formula unit
Distance to the lowest polymorph of the same formula = 0 meV per atom

```
data_LaBeNi
_chemical_formula_sum 'La4 Be4 Ni4'
_space_group_name_H-M_alt 'F -4 3 m'
_space_group_IT_number 216
_space_group_name_Hall 'F -4 2 3'
_cell_length_a 6.284
_cell_length_b 6.284
_cell_length_c 6.284
_cell_angle_alpha 90.00
_cell_angle_beta 90.00
_cell_angle_gamma 90.00
loop_
_atom_site_label
_atom_site_type_symbol
_atom_site_fract_x
_atom_site_fract_y
_atom_site_fract_z
_atom_site_occupancy
La1 La 0.000 0.000 0.000 1
Be1 Be 0.000 0.000 0.500 1
Ni1 Ni 0.250 0.250 0.750 1
```


# 5
The following is a PBE-GGA calculation of a geometry-optimized LaBe3Os structure, from OQMD.

Calculated values
Energy = -0.20701 Ha/atom
Total moment = 0.02 μB per formula unit

```
data_LaBe3Os
_chemical_formula_sum 'La4 Be12 Os4'
_space_group_name_H-M_alt 'C m c m'
_space_group_IT_number 63
_space_group_name_Hall '-C 2c 2'
_cell_length_a 3.968
_cell_length_b 14.490
_cell_length_c 5.520
_cell_angle_alpha 90.00
_cell_angle_beta 90.00
_cell_angle_gamma 90.00
loop_
_atom_site_label
_atom_site_type_symbol
_atom_site_fract_x
_atom_site_fract_y
_atom_site_fract_z
_atom_site_occupancy
La1 La 0.000 0.084 0.250 1
Be1 Be 0.000 0.283 0.036 1
Be2 Be 0.000 0.410 0.250 1
Os1 Os 0.000 0.169 0.750 1
```


# 6
The following is a PBE-GGA calculation of a geometry-optimized LaTaBeOs structure, from OQMD.

Calculated values
Energy = -0.27598 Ha/atom
Total moment = 0.04 μB per formula unit
Distance to the lowest polymorph of the same formula = 103 meV per atom

```
data_LaTaBeOs
_chemical_formula_sum 'La4 Ta4 Be4 Os4'
_space_group_name_H-M_alt 'F -4 3 m'
_space_group_IT_number 216
_space_group_name_Hall 'F -4 2 3'
_cell_length_a 6.685
_cell_length_b 6.685
_cell_length_c 6.685
_cell_angle_alpha 90.00
_cell_angle_beta 90.00
_cell_angle_gamma 90.00
loop_
_atom_site_label
_atom_site_type_symbol
_atom_site_fract_x
_atom_site_fract_y
_atom_site_fract_z
_atom_site_occupancy
La1 La 0.000 0.000 0.000 1
Ta1 Ta 0.000 0.000 0.500 1
Be1 Be 0.250 0.250 0.250 1
Os1 Os 0.250 0.250 0.750 1
```


# 7
The following is a PBE-GGA calculation of a geometry-optimized LaTaBeOs structure, from OQMD.

Calculated values
Energy = -0.27978 Ha/atom
Total moment = 0.00 μB per formula unit
Distance to the lowest polymorph of the same formula = 0 meV per atom

```
data_LaTaBeOs
_chemical_formula_sum 'La4 Ta4 Be4 Os4'
_space_group_name_H-M_alt 'F -4 3 m'
_space_group_IT_number 216
_space_group_name_Hall 'F -4 2 3'
_cell_length_a 6.545
_cell_length_b 6.545
_cell_length_c 6.545
_cell_angle_alpha 90.00
_cell_angle_beta 90.00
_cell_angle_gamma 90.00
loop_
_atom_site_label
_atom_site_type_symbol
_atom_site_fract_x
_atom_site_fract_y
_atom_site_fract_z
_atom_site_occupancy
La1 La 0.000 0.000 0.000 1
Ta1 Ta 0.250 0.250 0.250 1
Be1 Be 0.250 0.250 0.750 1
Os1 Os 0.000 0.000 0.500 1
```


# 8
The following is a PBE-GGA calculation of a geometry-optimized LaTaBeOs structure, from OQMD.

Calculated values
Energy = -0.26874 Ha/atom
Total moment = 0.00 μB per formula unit
Distance to the lowest polymorph of the same formula = 300 meV per atom

```
data_LaTaBeOs
_chemical_formula_sum 'La4 Ta4 Be4 Os4'
_space_group_name_H-M_alt 'F -4 3 m'
_space_group_IT_number 216
_space_group_name_Hall 'F -4 2 3'
_cell_length_a 6.471
_cell_length_b 6.471
_cell_length_c 6.471
_cell_angle_alpha 90.00
_cell_angle_beta 90.00
_cell_angle_gamma 90.00
loop_
_atom_site_label
_atom_site_type_symbol
_atom_site_fract_x
_atom_site_fract_y
_atom_site_fract_z
_atom_site_occupancy
La1 La 0.000 0.000 0.000 1
Ta1 Ta 0.250 0.250 0.750 1
Be1 Be 0.000 0.000 0.500 1
Os1 Os 0.250 0.250 0.250 1
```